1.
VASP calculation (PBE-GGA) on crystalline SrAg3F at its relaxed geometry.

The structure in POSCAR format:
```
SrAg3F
1.0
-1.1531 -2.3820 -5.4302
-0.2330 -5.5094 2.4662
-5.9251 0.6802 0.9598
Sr Ag F
1 3 1
Direct
0.0000 0.0000 0.0000
0.0000 0.5000 0.0000
0.0000 0.0000 0.5000
0.5000 0.0000 0.0000
0.5000 0.5000 0.5000
```

2.
VASP calculation (PBE-GGA) on crystalline SrAg7F12 at its relaxed geometry.

The structure in POSCAR format:
```
SrAg7F12
1.0
7.4409 0.0000 0.0000
-2.4803 7.0153 0.0000
-2.4803 -3.5077 6.0755
Sr Ag F
1 7 12
Direct
0.0000 0.0000 0.0000
0.5000 0.0000 0.5000
0.5000 0.5000 0.0000
0.0000 0.5000 0.5000
0.0000 0.0000 0.5000
0.5000 0.0000 0.0000
0.5000 0.5000 0.5000
0.0000 0.5000 0.0000
0.2815 0.1675 0.4489
0.2815 0.8325 0.1140
0.7185 0.8325 0.5511
0.7185 0.1675 0.8860
0.4489 0.2815 0.1675
0.8860 0.7185 0.1675
0.5511 0.7185 0.8325
0.1140 0.2815 0.8325
0.8325 0.1140 0.2815
0.1675 0.8860 0.7185
0.1675 0.4489 0.2815
0.8325 0.5511 0.7185
```

no.,formation energy (no corrections) (eV/atom)
1,0.699
2,-1.479